Entry 1:
TiBiHW2: optimized geometry, PBE.

Values from the calculation:
- crystal system = tetragonal
- space group = P4/mmm
- density of states at the Fermi level (states/eV/atom) = 0.65
- calculated total energy (eV/atom) = -7.699

The structure in POSCAR format:
```
TiBiHW2
1.0
3.934 0.000 0.000
0.000 3.934 0.000
0.000 0.000 5.003
Ti Bi H W
1 1 1 2
direct
0.000 0.000 0.000 Ti
0.500 0.500 0.000 Bi
0.500 0.500 0.500 H
0.000 0.500 0.500 W
0.500 0.000 0.500 W
```

Entry 2:
MgSc2Ag: optimized geometry, PBE.

Values from the calculation:
- crystal system = monoclinic
- space group = Cm
- ΔE_f (kJ/mol of atoms) = -9.19
- density of states at the Fermi level (states/eV/atom) = 1.20
- calculated total energy (eV/atom) = -4.372

The structure in POSCAR format:
```
MgSc2Ag
1.0
5.695 -1.690 0.000
5.695 1.690 0.000
-2.216 0.000 4.530
Mg Sc Ag
1 2 1
direct
0.000 0.000 0.000 Mg
0.226 0.226 0.728 Sc
0.448 0.448 0.448 Sc
0.717 0.717 0.218 Ag
```

Entry 3:
H3RhSe: optimized geometry, PBE.

Values from the calculation:
- crystal system = cubic
- space group = Pm-3m
- ΔE to the lowest computed polymorph (meV/atom) = 479
- density of states at the Fermi level (states/eV/atom) = 0.74
- calculated total energy (eV/atom) = -3.164

The structure in POSCAR format:
```
H3RhSe
1.0
3.637 0.000 0.000
0.000 3.637 0.000
0.000 0.000 3.637
H Rh Se
3 1 1
direct
0.000 0.000 0.500 H
0.000 0.500 0.000 H
0.500 0.000 0.000 H
0.500 0.500 0.500 Rh
0.000 0.000 0.000 Se
```

Entry 4:
BeIn2Sb2: optimized geometry, PBE.

Values from the calculation:
- crystal system = tetragonal
- space group = P4/mbm
- formation energy without anion corrections (meV per atom) = 223
- density of states at the Fermi level (states/eV/atom) = 0.41
- calculated total energy (eV/atom) = -3.266

The structure in POSCAR format:
```
BeIn2Sb2
1.0
6.559 0.000 0.000
0.000 6.559 0.000
0.000 0.000 6.249
Be In Sb
2 4 4
direct
0.000 0.000 0.000 Be
0.500 0.500 0.000 Be
0.205 0.295 0.500 In
0.295 0.795 0.500 In
0.705 0.205 0.500 In
0.795 0.705 0.500 In
0.153 0.347 0.000 Sb
0.347 0.847 0.000 Sb
0.653 0.153 0.000 Sb
0.847 0.653 0.000 Sb
```